Entry 1:
The following is a GGA+U calculation of a geometry-optimized Cs2MnBrF structure, from Alexandria via LeMat-Bulk.

Results
VASP energy = -0.264 Ry/atom
space-group type = P4/mmm
volume = 224 Å³ per cell

abc: 7.161 4.372 7.161
angles: 90.00 90.00 90.00
Last column: magnetic moment on the atom in μB.
Fractional positions:
Cs: 0.000 0.000 0.500  0.00
Cs: 0.500 0.000 0.000  0.01
Mn: 0.000 0.000 0.000  4.62
Br: 0.500 0.500 0.500  0.00
F: 0.000 0.500 0.000  0.07

Entry 2:
The following is a GGA+U calculation of a geometry-optimized Cs2MoBr5F structure, from Alexandria via LeMat-Bulk.

Results
VASP energy = -0.258 Ry/atom
space-group type = I4mm
volume = 334 Å³ per cell

abc: 7.715 7.715 7.715
angles: 93.35 118.08 118.08
Last column: magnetic moment on the atom in μB.
Fractional positions:
Cs: 0.500 0.243 0.743  0.00
Cs: 0.500 0.743 0.243  0.00
Mo: 0.000 0.996 0.996  2.11
Br: 0.465 0.225 0.225  -0.03
Br: 0.535 0.760 0.760  -0.03
Br: 0.000 0.760 0.225  -0.03
Br: 0.000 0.225 0.760  -0.03
Br: 0.000 0.239 0.239  -0.07
F: 0.000 0.810 0.810  -0.01

Entry 3:
The following is a GGA+U calculation of a geometry-optimized Cs2MoBr2F4 structure, from Alexandria via LeMat-Bulk.

Results
VASP energy = -0.326 Ry/atom
space-group type = I4/mmm
volume = 253 Å³ per cell

abc: 6.997 6.997 6.997
angles: 96.22 116.48 116.48
Last column: magnetic moment on the atom in μB.
Fractional positions:
Cs: 0.500 0.750 0.250  0.00
Cs: 0.500 0.250 0.750  0.00
Mo: 0.000 0.000 0.000  1.87
Br: 0.000 0.719 0.719  0.00
Br: 0.000 0.281 0.281  0.00
F: 0.000 0.810 0.190  0.02
F: 0.620 0.810 0.810  0.02
F: 0.000 0.190 0.810  0.02
F: 0.380 0.190 0.190  0.02

Entry 4:
The following is a GGA+U calculation of a geometry-optimized Cs3MoBr2F6 structure, from Alexandria via LeMat-Bulk.

Results
VASP energy = -0.319 Ry/atom
space-group type = C2/m
volume = 412 Å³ per cell

abc: 5.525 8.476 9.761
angles: 115.73 90.63 90.00
Last column: magnetic moment on the atom in μB.
Fractional positions:
Cs: 0.000 0.500 0.000  0.00
Cs: 0.500 0.500 0.500  0.00
Cs: 0.500 0.000 0.500  0.00
Mo: 0.500 0.000 0.000  0.94
Br: 0.998 0.696 0.393  0.00
Br: 0.002 0.304 0.607  0.00
F: 0.735 0.172 0.012  0.00
F: 0.265 0.828 0.988  0.00
F: 0.521 0.889 0.778  0.03
F: 0.479 0.111 0.222  0.03
F: 0.265 0.160 0.988  0.00
F: 0.735 0.840 0.012  0.00

Record-wise magnetization values, in μB per atom: 1.00; 0.22; 0.22; 0.08